Record 1
# Cd2NiPt, optimized geometry, DFT PBE
data_Cd2NiPt
_cell_length_a 2.958
_cell_length_b 4.695
_cell_length_c 9.744
_cell_angle_alpha 90.00
_cell_angle_beta 90.00
_cell_angle_gamma 90.00
_symmetry_space_group_name_H-M 'I m m 2'
_symmetry_Int_Tables_number 44
loop_
_symmetry_equiv_pos_as_xyz
'x,y,z'
'-x,-y,z'
'-x,y,z'
'x,-y,z'
'x+1/2,y+1/2,z+1/2'
'-x+1/2,-y+1/2,z+1/2'
'-x+1/2,y+1/2,z+1/2'
'x+1/2,-y+1/2,z+1/2'
loop_
_atom_site_label
_atom_site_fract_x
_atom_site_fract_y
_atom_site_fract_z
Cd1 0.000 0.000 0.000
Cd2 0.000 0.500 0.215
Ni1 0.000 0.000 0.479
Pt1 0.000 0.500 0.762
# Total energy = -28.0 eV/cell
# Total magnetic moment = 0.0 μB per formula unit
# Calculated formation energy = -82 meV per atom
# Fermi-level density of states = 2.78 states/eV/f.u.
# Calculated volume = 16.92 Å³ per atom

***

Record 2
# CdNi2Pt, optimized geometry, DFT PBE
data_CdNi2Pt
_cell_length_a 2.7790
_cell_length_b 2.7790
_cell_length_c 26.0423
_cell_angle_alpha 90.00
_cell_angle_beta 90.00
_cell_angle_gamma 120.00
_symmetry_space_group_name_H-M 'R 3 m'
_symmetry_Int_Tables_number 160
_symmetry_space_group_name_Hall 'R 3 -2"'
loop_
_atom_site_label
_atom_site_fract_x
_atom_site_fract_y
_atom_site_fract_z
Cd1 0.0000 0.0000 0.0000
Ni1 0.0000 0.0000 0.4904
Ni2 0.0000 0.0000 0.7533
Pt1 0.0000 0.0000 0.2380
# Total energy = -54.7 eV/cell
# Total magnetic moment = 1.2 μB per formula unit
# Calculated formation energy = 74 meV per atom
# Fermi-level density of states = 5.83 states/eV/f.u.
# Calculated volume = 14.51 Å³ per atom

***

Repeat the first record exactly.
# Cd2NiPt, optimized geometry, DFT PBE
data_Cd2NiPt
_cell_length_a 2.958
_cell_length_b 4.695
_cell_length_c 9.744
_cell_angle_alpha 90.00
_cell_angle_beta 90.00
_cell_angle_gamma 90.00
_symmetry_space_group_name_H-M 'I m m 2'
_symmetry_Int_Tables_number 44
loop_
_symmetry_equiv_pos_as_xyz
'x,y,z'
'-x,-y,z'
'-x,y,z'
'x,-y,z'
'x+1/2,y+1/2,z+1/2'
'-x+1/2,-y+1/2,z+1/2'
'-x+1/2,y+1/2,z+1/2'
'x+1/2,-y+1/2,z+1/2'
loop_
_atom_site_label
_atom_site_fract_x
_atom_site_fract_y
_atom_site_fract_z
Cd1 0.000 0.000 0.000
Cd2 0.000 0.500 0.215
Ni1 0.000 0.000 0.479
Pt1 0.000 0.500 0.762
# Total energy = -28.0 eV/cell
# Total magnetic moment = 0.0 μB per formula unit
# Calculated formation energy = -82 meV per atom
# Fermi-level density of states = 2.78 states/eV/f.u.
# Calculated volume = 16.92 Å³ per atom

***

> Look up the total magnetic moment of the second one.

1.2 μB per formula unit

***

> total magnetic moment of number 1 (Cd2NiPt)?

0.0 μB per formula unit